Here is an optimized crystal structure of LiTm2Fe from Alexandria via LeMat-Bulk. Energies are from PBE-GGA.

Lattice parameters (Å, degrees): 4.774 4.774 4.774 60.00 60.00 60.00
Fractional positions:
1 Tm 0.250 0.250 0.250
2 Tm 0.750 0.750 0.750
3 Li 0.500 0.500 0.500
4 Fe 0.000 0.000 0.000

Calculated values
The calculation puts the total energy at -4.78 eV/atom. The density of states at the Fermi level is 0.71 states/eV per atom. The volume is 19.24 A^3/atom.